# 1
VASP calculation (PBE) on a geometry-optimized LaSnP2Ir structure.

Structure (POSCAR):
```
LaSnP2Ir
1.0
5.030 0.000 0.000
0.000 5.030 0.000
0.000 0.000 4.899
La Sn P Ir
1 1 2 1
direct
0.000 0.000 0.000
0.500 0.500 0.500
0.000 0.500 0.500
0.500 0.000 0.500
0.500 0.500 0.000
```

Values from the calculation:
Formation enthalpy at 0 K (eV/atom): 0.332
Space-group type: No. 123
M_tot (μB/f.u.): 0.0

# 2
VASP calculation (PBE) on a geometry-optimized LaTcP2Ir structure.

Structure (POSCAR):
```
LaTcP2Ir
1.0
-2.041 2.041 5.446
2.041 -2.041 5.446
2.041 2.041 -5.446
La Tc P Ir
1 1 2 1
direct
0.000 0.000 0.000
0.250 0.750 0.500
0.359 0.359 0.000
0.641 0.641 0.000
0.750 0.250 0.500
```

Values from the calculation:
Formation enthalpy at 0 K (eV/atom): -0.992
Space-group type: No. 119
M_tot (μB/f.u.): 0.0

# 3
VASP calculation (PBE) on a geometry-optimized La8Te3PIr3 structure.

Structure (POSCAR):
```
La8Te3PIr3
1.0
7.471 -4.316 0.000
7.471 4.316 0.000
-4.969 0.000 7.507
La Te P Ir
8 3 1 3
direct
0.230 0.739 0.708
0.238 0.238 0.713
0.261 0.261 0.292
0.261 0.770 0.292
0.739 0.230 0.708
0.739 0.739 0.708
0.762 0.762 0.287
0.770 0.261 0.292
0.000 0.500 0.000
0.500 0.000 0.000
0.500 0.500 0.000
0.500 0.500 0.500
0.000 0.000 0.500
0.000 0.500 0.500
0.500 0.000 0.500
```

Values from the calculation:
Energy (eV/atom): -6.516
Space-group type: No. 12
M_tot (μB/f.u.): 0.0

# 4
VASP calculation (PBE) on a geometry-optimized La4Te2PIr structure.

Structure (POSCAR):
```
La4Te2PIr
1.0
7.570 0.000 0.000
0.000 4.343 0.000
-2.396 0.000 7.506
La Te P Ir
4 2 1 1
direct
0.236 0.000 0.214
0.251 0.500 0.790
0.749 0.500 0.210
0.764 0.000 0.786
0.000 0.000 0.500
0.500 0.500 0.500
0.500 0.000 0.000
0.000 0.500 0.000
```

Values from the calculation:
Energy (eV/atom): -6.421
Space-group type: No. 10
M_tot (μB/f.u.): 0.0

# 5
VASP calculation (PBE) on a geometry-optimized La2TiP3Ir4 structure.

Structure (POSCAR):
```
La2TiP3Ir4
1.0
4.107 0.000 0.000
0.000 4.107 0.000
0.000 0.000 10.425
La Ti P Ir
2 1 3 4
direct
0.000 0.500 0.244
0.500 0.000 0.756
0.000 0.000 0.500
0.000 0.500 0.867
0.500 0.000 0.133
0.500 0.500 0.500
0.000 0.000 0.000
0.000 0.500 0.638
0.500 0.000 0.362
0.500 0.500 0.000
```

Values from the calculation:
Formation enthalpy at 0 K (eV/atom): -0.988
Space-group type: No. 115
M_tot (μB/f.u.): 0.0

# 6
VASP calculation (PBE) on a geometry-optimized La2TiP4Ir3 structure.

Structure (POSCAR):
```
La2TiP4Ir3
1.0
4.247 0.000 0.000
0.000 4.247 0.000
0.000 0.000 9.811
La Ti P Ir
2 1 4 3
direct
0.000 0.500 0.234
0.500 0.000 0.766
0.000 0.000 0.500
0.000 0.000 0.000
0.000 0.500 0.638
0.500 0.000 0.362
0.500 0.500 0.000
0.000 0.500 0.892
0.500 0.000 0.108
0.500 0.500 0.500
```

Values from the calculation:
Formation enthalpy at 0 K (eV/atom): -1.095
Space-group type: No. 115
M_tot (μB/f.u.): 0.0

# 7
VASP calculation (PBE) on a geometry-optimized La2VP4Ir3 structure.

Structure (POSCAR):
```
La2VP4Ir3
1.0
4.253 0.000 0.000
0.000 4.253 0.000
0.000 0.000 9.640
La V P Ir
2 1 4 3
direct
0.000 0.500 0.237
0.500 0.000 0.763
0.000 0.000 0.500
0.000 0.000 0.000
0.000 0.500 0.630
0.500 0.000 0.370
0.500 0.500 0.000
0.000 0.500 0.890
0.500 0.000 0.110
0.500 0.500 0.500
```

Values from the calculation:
Formation enthalpy at 0 K (eV/atom): -1.025
Space-group type: No. 115
M_tot (μB/f.u.): 1.8

# 8
VASP calculation (PBE) on a geometry-optimized LaZn2PIr2 structure.

Structure (POSCAR):
```
LaZn2PIr2
1.0
4.511 0.000 0.000
0.000 4.511 0.000
0.000 0.000 5.678
La Zn P Ir
1 2 1 2
direct
0.000 0.000 0.000
0.500 0.500 0.229
0.500 0.500 0.771
0.000 0.000 0.500
0.000 0.500 0.500
0.500 0.000 0.500
```

Values from the calculation:
Formation enthalpy at 0 K (eV/atom): -0.396
Space-group type: No. 123
M_tot (μB/f.u.): 0.0

# 9
VASP calculation (PBE) on a geometry-optimized LaPaIr structure.

Structure (POSCAR):
```
LaPaIr
1.0
4.419 0.000 0.000
0.000 4.419 0.000
0.000 0.000 7.809
La Pa Ir
2 2 2
direct
0.250 0.250 0.128
0.750 0.750 0.872
0.250 0.750 0.500
0.750 0.250 0.500
0.250 0.250 0.753
0.750 0.750 0.247
```

Values from the calculation:
Formation enthalpy at 0 K (eV/atom): -0.434
Space-group type: No. 129
M_tot (μB/f.u.): 0.0

# 10
VASP calculation (PBE) on a geometry-optimized LaPaIr structure.

Structure (POSCAR):
```
LaPaIr
1.0
-1.812 1.812 5.726
1.812 -1.812 5.726
1.812 1.812 -5.726
La Pa Ir
1 1 1
direct
0.000 0.000 0.000
0.298 0.298 0.000
0.699 0.699 0.000
```

Values from the calculation:
Formation enthalpy at 0 K (eV/atom): -0.497
Space-group type: No. 107
M_tot (μB/f.u.): 0.0

# 11
VASP calculation (PBE) on a geometry-optimized La2PaIr2 structure.

Structure (POSCAR):
```
La2PaIr2
1.0
5.673 -3.223 0.000
5.673 3.223 0.000
-1.426 0.000 7.204
La Pa Ir
4 2 4
direct
0.036 0.265 0.144
0.265 0.036 0.644
0.735 0.964 0.356
0.964 0.735 0.856
0.421 0.579 0.250
0.579 0.421 0.750
0.206 0.507 0.489
0.493 0.794 0.011
0.507 0.206 0.989
0.794 0.493 0.511
```

Values from the calculation:
Formation enthalpy at 0 K (eV/atom): -0.724
Space-group type: No. 15
M_tot (μB/f.u.): 0.0

# 12
VASP calculation (PBE) on a geometry-optimized La3PaIr3 structure.

Structure (POSCAR):
```
La3PaIr3
1.0
12.777 0.000 0.000
0.000 4.168 0.000
0.000 0.000 14.480
La Pa Ir
12 4 12
direct
0.082 0.250 0.091
0.143 0.750 0.519
0.228 0.750 0.805
0.272 0.250 0.305
0.357 0.250 0.019
0.418 0.750 0.591
0.582 0.250 0.409
0.643 0.750 0.981
0.728 0.750 0.695
0.772 0.250 0.195
0.857 0.250 0.481
0.918 0.750 0.909
0.025 0.250 0.706
0.475 0.750 0.206
0.525 0.250 0.794
0.975 0.750 0.294
0.060 0.250 0.384
0.077 0.250 0.881
0.225 0.250 0.652
0.275 0.750 0.152
0.423 0.750 0.381
0.440 0.750 0.884
0.560 0.250 0.116
0.577 0.250 0.619
0.725 0.250 0.848
0.775 0.750 0.348
0.923 0.750 0.119
0.940 0.750 0.616
```

Values from the calculation:
Formation enthalpy at 0 K (eV/atom): -0.670
Space-group type: No. 62
M_tot (μB/f.u.): 0.0

# 13
VASP calculation (PBE) on a geometry-optimized LaPaIr structure.

Structure (POSCAR):
```
LaPaIr
1.0
4.566 0.000 0.000
-2.283 3.954 0.000
0.000 0.000 4.493
La Pa Ir
1 1 1
direct
0.000 0.000 0.000
0.667 0.333 0.453
0.333 0.667 0.551
```

Values from the calculation:
Formation enthalpy at 0 K (eV/atom): -0.272
Space-group type: No. 156
M_tot (μB/f.u.): 0.0

# 14
VASP calculation (PBE) on a geometry-optimized La2PaIr structure.

Structure (POSCAR):
```
La2PaIr
1.0
1.795 1.036 10.622
-1.795 1.036 10.622
0.000 -2.072 10.622
La Pa Ir
2 1 1
direct
0.106 0.106 0.106
0.894 0.894 0.894
0.000 0.000 0.000
0.500 0.500 0.500
```

Values from the calculation:
Formation enthalpy at 0 K (eV/atom): 0.211
Space-group type: No. 166
M_tot (μB/f.u.): 0.0

# 15
VASP calculation (PBE) on a geometry-optimized LaPaIr4 structure.

Structure (POSCAR):
```
LaPaIr4
1.0
0.000 3.825 3.825
3.825 0.000 3.825
3.825 3.825 0.000
La Pa Ir
1 1 4
direct
0.000 0.000 0.000
0.250 0.250 0.250
0.125 0.625 0.625
0.625 0.125 0.625
0.625 0.625 0.125
0.625 0.625 0.625
```

Values from the calculation:
Formation enthalpy at 0 K (eV/atom): -0.708
Space-group type: No. 216
M_tot (μB/f.u.): 0.0

# 16
VASP calculation (PBE) on a geometry-optimized LaPaIr structure.

Structure (POSCAR):
```
LaPaIr
1.0
3.604 0.000 0.000
-1.795 5.473 0.000
-0.007 -2.411 7.105
La Pa Ir
2 2 2
direct
0.146 0.293 0.073
0.854 0.707 0.927
0.163 0.328 0.573
0.837 0.672 0.427
0.494 0.988 0.299
0.506 0.012 0.701
```

Values from the calculation:
Formation enthalpy at 0 K (eV/atom): -0.471
Space-group type: No. 2
M_tot (μB/f.u.): 0.0

# 17
VASP calculation (PBE) on a geometry-optimized La3Pa2Ir4 structure.

Structure (POSCAR):
```
La3Pa2Ir4
1.0
8.322 -2.286 0.000
8.322 2.286 0.000
-0.502 0.000 5.733
La Pa Ir
3 2 4
direct
0.000 0.000 0.000
0.417 0.417 0.603
0.583 0.583 0.397
0.212 0.212 0.747
0.788 0.788 0.253
0.187 0.187 0.252
0.365 0.365 0.101
0.635 0.635 0.899
0.813 0.813 0.748
```

Values from the calculation:
Formation enthalpy at 0 K (eV/atom): -0.703
Space-group type: No. 12
M_tot (μB/f.u.): 0.0

# 18
VASP calculation (PBE) on a geometry-optimized LaPa3Ir2 structure.

Structure (POSCAR):
```
LaPa3Ir2
1.0
8.691 -2.331 0.000
8.691 2.331 0.000
-3.552 0.000 7.174
La Pa Ir
2 6 4
direct
0.142 0.142 0.055
0.858 0.858 0.945
0.054 0.054 0.386
0.308 0.308 0.562
0.391 0.391 0.331
0.609 0.609 0.669
0.692 0.692 0.438
0.946 0.946 0.614
0.220 0.220 0.770
0.489 0.489 0.819
0.511 0.511 0.181
0.780 0.780 0.230
```

Values from the calculation:
Formation enthalpy at 0 K (eV/atom): -0.432
Space-group type: No. 12
M_tot (μB/f.u.): 0.0

# 19
VASP calculation (PBE) on a geometry-optimized LaPaSi2Ir5 structure.

Structure (POSCAR):
```
LaPaSi2Ir5
1.0
4.048 0.000 0.000
0.000 4.048 0.000
0.000 0.000 11.168
La Pa Si Ir
1 1 2 5
direct
0.000 0.000 0.000
0.000 0.000 0.500
0.500 0.500 0.211
0.500 0.500 0.789
0.000 0.500 0.322
0.000 0.500 0.678
0.500 0.000 0.322
0.500 0.000 0.678
0.500 0.500 0.000
```

Values from the calculation:
Energy (eV/atom): -8.447
Space-group type: No. 123
M_tot (μB/f.u.): 0.0

# 20
VASP calculation (PBE) on a geometry-optimized La2ZrPaIr2 structure.

Structure (POSCAR):
```
La2ZrPaIr2
1.0
-3.439 6.685 3.482
3.439 -6.685 3.482
3.439 6.685 -3.482
La Zr Pa Ir
4 2 2 4
direct
0.188 0.250 0.438
0.312 0.750 0.062
0.688 0.250 0.938
0.812 0.750 0.562
0.250 0.250 0.000
0.750 0.750 0.000
0.250 0.750 0.500
0.750 0.250 0.500
0.092 0.749 0.840
0.408 0.249 0.657
0.592 0.751 0.343
0.908 0.251 0.160
```

Values from the calculation:
Formation enthalpy at 0 K (eV/atom): -0.602
Space-group type: No. 72
M_tot (μB/f.u.): 0.0